Entry 1:
First-principles (PBE-GGA) data for a relaxed structure of La2Dy4Tl, as listed in Alexandria.

Geometry as POSCAR:
```
La2Dy4Tl
1.0
5.850 0.000 0.000
0.000 6.705 0.000
-2.670 0.000 11.354
La Dy Tl
4 8 2
Cartesian
-1.117 1.676 5.381
1.802 5.029 0.884
1.379 1.676 10.470
4.298 5.029 5.973
-1.202 0.051 8.912
-1.202 3.301 8.912
1.037 1.676 0.728
1.382 5.029 4.263
1.799 1.676 7.092
2.144 5.029 10.626
4.383 3.404 2.442
4.383 6.654 2.442
1.779 1.676 3.762
1.402 5.029 7.592
```

Total magnetic moment = 0.00 μB/cell
Formation energy from the elements = -0.051 eV per formula unit

=====

Entry 2:
First-principles (PBE-GGA) data for a relaxed structure of HoEr6Tm3Sc2, as listed in Alexandria.

Geometry as POSCAR:
```
HoEr6Tm3Sc2
1.0
3.002 -5.194 0.000
3.002 5.194 0.000
-1.995 0.000 11.294
Ho Er Tm Sc
1 6 3 2
Cartesian
0.000 0.000 0.000
1.011 1.742 2.776
0.015 0.000 8.518
1.011 -1.742 2.776
2.999 1.742 8.518
3.995 0.000 2.776
2.999 -1.742 8.518
2.005 3.460 5.647
2.005 0.000 5.647
2.005 -3.460 5.647
3.002 1.730 0.000
3.002 -1.730 0.000
```

Total magnetic moment = 0.00 μB/cell
Formation energy from the elements = 0.461 eV per formula unit

=====

Entry 3:
First-principles (PBE-GGA) data for a relaxed structure of SrInCl, as listed in Alexandria.

Geometry as POSCAR:
```
SrInCl
1.0
0.000 3.863 3.863
3.863 0.000 3.863
3.863 3.863 0.000
Sr In Cl
1 1 1
Cartesian
0.000 0.000 0.000
5.795 5.795 5.795
1.932 1.932 1.932
```

Uncorrected energy = -2.6150 eV/atom
Total magnetic moment = 0.20 μB/cell

=====

Entry 4:
First-principles (PBE-GGA) data for a relaxed structure of InAgPdPt, as listed in Alexandria.

Geometry as POSCAR:
```
InAgPdPt
1.0
0.000 3.253 3.253
3.253 0.000 3.253
3.253 3.253 0.000
In Ag Pd Pt
1 1 1 1
Cartesian
0.000 0.000 0.000
3.253 3.253 3.253
4.880 4.880 4.880
1.627 1.627 1.627
```

Total magnetic moment = 0.00 μB/cell
Formation energy from the elements = -1.266 eV per formula unit

=====

Entry 5:
First-principles (PBE-GGA) data for a relaxed structure of Pr5CN6, as listed in Alexandria.

Geometry as POSCAR:
```
Pr5CN6
1.0
3.161 -5.474 0.000
3.161 5.474 0.000
-2.067 0.000 5.921
Pr C N
5 1 6
Cartesian
0.000 0.000 0.000
2.127 3.630 2.961
3.161 1.765 0.000
3.161 -1.765 0.000
2.127 -3.630 2.961
2.127 0.000 2.961
0.993 1.962 1.421
-0.116 0.000 4.523
0.993 -1.962 1.421
3.261 1.962 4.500
4.369 0.000 1.398
3.261 -1.962 4.500
```

Uncorrected energy = -7.2290 eV/atom
Total magnetic moment = 0.90 μB/cell

=====

Entry 6:
First-principles (PBE-GGA) data for a relaxed structure of CaNd2Eu, as listed in Alexandria.

Geometry as POSCAR:
```
CaNd2Eu
1.0
5.207 0.000 0.000
0.000 5.207 0.000
0.000 0.000 5.541
Ca Nd Eu
1 2 1
Cartesian
0.000 0.000 0.000
0.000 2.603 2.770
2.603 0.000 2.770
2.603 2.603 0.000
```

Total magnetic moment = 7.38 μB/cell
Formation energy from the elements = 0.439 eV per formula unit

=====

What did the fourth record say?
First-principles (PBE-GGA) data for a relaxed structure of InAgPdPt, as listed in Alexandria.

Geometry as POSCAR:
```
InAgPdPt
1.0
0.000 3.253 3.253
3.253 0.000 3.253
3.253 3.253 0.000
In Ag Pd Pt
1 1 1 1
Cartesian
0.000 0.000 0.000
3.253 3.253 3.253
4.880 4.880 4.880
1.627 1.627 1.627
```

Total magnetic moment = 0.00 μB/cell
Formation energy from the elements = -1.266 eV per formula unit

=====

Question: What is the total magnetic moment in the third record?
Answer: 0.20 μB/cell